[1]
# PBE LiSnPd5, optimized geometry
data_LiSnPd5
_chemical_formula_sum 'Li4 Sn4 Pd20'
_cell_length_a 7.345
_cell_length_b 5.676
_cell_length_c 11.026
_cell_angle_alpha 90.00
_cell_angle_beta 90.00
_cell_angle_gamma 90.00
_space_group_name_H-M_alt 'C m c m'
_space_group_IT_number 63
_space_group_name_Hall '-C 2c 2'
loop_
_atom_site_label
_atom_site_fract_x
_atom_site_fract_y
_atom_site_fract_z
Li1 0.000 0.122 0.250
Sn1 0.000 0.500 0.000
Pd1 0.000 0.453 0.750
Pd2 0.205 0.147 0.616
# - Energy above the lowest structure with this stoichiometry: 0.0000 eV/atom

=====

[2]
# PBE Li2Sn5Pd3, optimized geometry
data_Li2Sn5Pd3
_chemical_formula_sum 'Li8 Sn20 Pd12'
_cell_length_a 4.433
_cell_length_b 26.672
_cell_length_c 7.209
_cell_angle_alpha 90.00
_cell_angle_beta 90.00
_cell_angle_gamma 90.00
_space_group_name_H-M_alt 'C m c 21'
_space_group_IT_number 36
_space_group_name_Hall 'C 2c -2'
loop_
_atom_site_label
_atom_site_fract_x
_atom_site_fract_y
_atom_site_fract_z
Li1 0.000 0.023 0.000
Li2 0.000 0.349 0.909
Sn1 0.000 0.102 0.621
Sn2 0.000 0.207 0.239
Sn3 0.000 0.207 0.782
Sn4 0.000 0.385 0.499
Sn5 0.000 0.459 0.825
Pd1 0.000 0.103 0.244
Pd2 0.000 0.282 0.515
Pd3 0.000 0.448 0.200
# - Total DFT energy (no corrections): -174.968 eV/cell

=====

[3]
# PBE Li2SnPd5, optimized geometry
data_Li2SnPd5
_chemical_formula_sum 'Li8 Sn4 Pd20'
_cell_length_a 6.640
_cell_length_b 6.640
_cell_length_c 10.927
_cell_angle_alpha 90.00
_cell_angle_beta 90.00
_cell_angle_gamma 90.00
_space_group_name_H-M_alt 'I 4/m c m'
_space_group_IT_number 140
_space_group_name_Hall '-I 4 2c'
loop_
_atom_site_label
_atom_site_fract_x
_atom_site_fract_y
_atom_site_fract_z
Li1 0.145 0.355 0.000
Sn1 0.000 0.000 0.250
Pd1 0.000 0.000 0.000
Pd2 0.150 0.350 0.348
# - Energy above the lowest structure with this stoichiometry: 0.0656 eV/atom

=====

[4]
# PBE LiSn2Pd6, optimized geometry
data_LiSn2Pd6
_chemical_formula_sum 'Li2 Sn4 Pd12'
_cell_length_a 13.368
_cell_length_b 6.062
_cell_length_c 4.292
_cell_angle_alpha 90.00
_cell_angle_beta 108.60
_cell_angle_gamma 90.00
_space_group_name_H-M_alt 'C 1 2/m 1'
_space_group_IT_number 12
_space_group_name_Hall '-C 2y'
loop_
_atom_site_label
_atom_site_fract_x
_atom_site_fract_y
_atom_site_fract_z
Li1 0.000 0.000 0.000
Sn1 0.162 0.500 0.663
Pd1 0.000 0.228 0.500
Pd2 0.162 0.241 0.163
# - Energy above the lowest structure with this stoichiometry: 0.0535 eV/atom

=====

[5]
# PBE Li3SnPd4, optimized geometry
data_Li3SnPd4
_chemical_formula_sum 'Li6 Sn2 Pd8'
_cell_length_a 4.405
_cell_length_b 4.405
_cell_length_c 12.100
_cell_angle_alpha 90.00
_cell_angle_beta 90.00
_cell_angle_gamma 90.00
_space_group_name_H-M_alt 'I 4/m m m'
_space_group_IT_number 139
_space_group_name_Hall '-I 4 2'
loop_
_atom_site_label
_atom_site_fract_x
_atom_site_fract_y
_atom_site_fract_z
Li1 0.000 0.000 0.000
Li2 0.000 0.000 0.246
Sn1 0.000 0.000 0.500
Pd1 0.000 0.500 0.131
# - Energy above the lowest structure with this stoichiometry: 0.0000 eV/atom

=====

[6]
# PBE Li2SnPd4, optimized geometry
data_Li2SnPd4
_chemical_formula_sum 'Li4 Sn2 Pd8'
_cell_length_a 6.173
_cell_length_b 6.173
_cell_length_c 6.005
_cell_angle_alpha 90.00
_cell_angle_beta 90.00
_cell_angle_gamma 90.00
_space_group_name_H-M_alt 'I 4/m m m'
_space_group_IT_number 139
_space_group_name_Hall '-I 4 2'
loop_
_atom_site_label
_atom_site_fract_x
_atom_site_fract_y
_atom_site_fract_z
Li1 0.000 0.500 0.000
Sn1 0.000 0.000 0.000
Pd1 0.250 0.250 0.250
# - Energy above the lowest structure with this stoichiometry: 0.0059 eV/atom